No. 1
A plane-wave DFT calculation with PBE was carried out for a relaxed AgMo2W crystal.

Computed properties:
**Spin magnetization**: 0.00 μB/atom
**SG**: P4/mmm
**Formation enthalpy at 0 K**: 9.3 kcal/mol of atoms
**Calculated total energy**: -35.9 eV/cell
**ΔE to the lowest computed polymorph**: 0.62 eV/f.u.
**Crystal system**: tetragonal

Unit cell a=2.667 b=2.667 c=9.238 alpha=90.00 beta=90.00 gamma=90.00
Fractional positions:
1 Ag 0.000 0.000 0.000
2 Mo 0.500 0.500 0.252
3 Mo 0.500 0.500 0.748
4 W 0.000 0.000 0.500

***

No. 2
A plane-wave DFT calculation with PBE was carried out for a relaxed AcTm2Pu crystal.

Computed properties:
**Spin magnetization**: 1.54 μB/atom
**SG**: R-3m
**Formation enthalpy at 0 K**: 6.5 kcal/mol of atoms
**Calculated total energy**: -26.3 eV/cell
**ΔE to the lowest computed polymorph**: 0.55 eV/f.u.
**Crystal system**: trigonal

Unit cell a=12.618 b=12.618 c=12.618 alpha=15.99 beta=15.99 gamma=15.99
Fractional positions:
1 Ac 0.000 0.000 0.000
2 Tm 0.094 0.094 0.094
3 Tm 0.906 0.906 0.906
4 Pu 0.500 0.500 0.500

***

No. 3
A plane-wave DFT calculation with PBE was carried out for a relaxed TcP2Se crystal.

Computed properties:
**Spin magnetization**: 0.00 μB/atom
**SG**: Immm
**Calculated total energy**: -23.3 eV/cell
**Energy relative to the elements, uncorrected**: 0.353 eV/atom
**Crystal system**: orthorhombic

Unit cell a=5.867 b=5.867 c=5.867 alpha=150.86 beta=135.60 gamma=53.99
Fractional positions:
1 Tc 0.000 0.000 0.000
2 P 0.188 0.688 0.500
3 P 0.812 0.312 0.500
4 Se 0.500 0.500 0.000

***

No. 4
A plane-wave DFT calculation with PBE was carried out for a relaxed AlInF2 crystal.

Computed properties:
**Spin magnetization**: 0.00 μB/atom
**SG**: Fm-3m
**Calculated total energy**: -15.2 eV/cell
**Energy relative to the elements, uncorrected**: -1.240 eV/atom
**ΔE to the lowest computed polymorph**: 2.10 eV/f.u.
**Crystal system**: cubic

Unit cell a=4.589 b=4.589 c=4.589 alpha=60.00 beta=60.00 gamma=60.00
Fractional positions:
1 Al 0.000 0.000 0.000
2 In 0.500 0.500 0.500
3 F 0.250 0.250 0.250
4 F 0.750 0.750 0.750

***

No. 5
A plane-wave DFT calculation with PBE was carried out for a relaxed Ca2Ni4SnAs3 crystal.

Computed properties:
**Spin magnetization**: 0.00 μB/atom
**SG**: P-4m2
**Formation enthalpy at 0 K**: -13.6 kcal/mol of atoms
**Calculated total energy**: -51.0 eV/cell
**Crystal system**: tetragonal

Unit cell a=4.165 b=4.165 c=10.039 alpha=90.00 beta=90.00 gamma=90.00
Fractional positions:
1 Ca 0.000 0.500 0.234
2 Ca 0.500 0.000 0.766
3 Ni 0.000 0.000 0.000
4 Ni 0.000 0.500 0.642
5 Ni 0.500 0.000 0.358
6 Ni 0.500 0.500 0.000
7 Sn 0.000 0.000 0.500
8 As 0.000 0.500 0.875
9 As 0.500 0.000 0.125
10 As 0.500 0.500 0.500

***

No. 6
A plane-wave DFT calculation with PBE was carried out for a relaxed Tb3Ir2Pd crystal.

Computed properties:
**Spin magnetization**: 0.00 μB/atom
**SG**: Cmmm
**Formation enthalpy at 0 K**: -19.2 kcal/mol of atoms
**Calculated total energy**: -41.8 eV/cell
**Crystal system**: orthorhombic

Unit cell a=7.738 b=7.738 c=3.483 alpha=90.00 beta=90.00 gamma=143.08
Fractional positions:
1 Tb 0.000 0.000 0.000
2 Tb 0.329 0.671 0.000
3 Tb 0.671 0.329 0.000
4 Ir 0.165 0.835 0.500
5 Ir 0.835 0.165 0.500
6 Pd 0.500 0.500 0.500

***

No. 7
A plane-wave DFT calculation with PBE was carried out for a relaxed RbMnAu3 crystal.

Computed properties:
**Spin magnetization**: 1.00 μB/atom
**SG**: Pm-3m
**Formation enthalpy at 0 K**: 34.1 kcal/mol of atoms
**Calculated total energy**: -12.6 eV/cell
**ΔE to the lowest computed polymorph**: 6.79 eV/f.u.
**Crystal system**: cubic

Unit cell a=5.806 b=5.806 c=5.806 alpha=90.00 beta=90.00 gamma=90.00
Fractional positions:
1 Rb 0.000 0.000 0.000
2 Mn 0.500 0.500 0.500
3 Au 0.000 0.000 0.500
4 Au 0.000 0.500 0.000
5 Au 0.500 0.000 0.000

***

No. 8
A plane-wave DFT calculation with PBE was carried out for a relaxed Rb3Tl2Br5 crystal.

Computed properties:
**Spin magnetization**: 0.00 μB/atom
**SG**: C2/m
**Calculated total energy**: -29.9 eV/cell
**Energy relative to the elements, uncorrected**: -1.395 eV/atom
**Crystal system**: monoclinic

Unit cell a=8.451 b=8.451 c=11.932 alpha=117.99 beta=117.99 gamma=33.61
Fractional positions:
1 Rb 0.000 0.000 0.000
2 Rb 0.201 0.201 0.795
3 Rb 0.799 0.799 0.205
4 Tl 0.401 0.401 0.599
5 Tl 0.599 0.599 0.401
6 Br 0.000 0.000 0.500
7 Br 0.198 0.198 0.307
8 Br 0.401 0.401 0.104
9 Br 0.599 0.599 0.896
10 Br 0.802 0.802 0.693

***

- What is the spin magnetization in the seventh record?
  1.00 μB/atom